The following is a PBE-GGA calculation of a geometry-optimized VHg3N structure, from the Alexandria database.

The size of the total moment is 4.0 μB/cell. As for the relative energy among the computed polymorphs: 0.00 eV/f.u. The calculation puts the formation energy (no corrections) at 27.947 kcal/mol of atoms. For the total energy, the calculation gives -2.458 eV/atom. The value obtained for the volume is 20.99 Å³ per atom.

The space group is Pm-3m (No. 221) and the conventional cell measures 4.717, 4.717 and 4.717 Å, with angles of 90.00, 90.00 and 90.00 degrees. The inequivalent atoms are V at (0.000, 0.000, 0.000), Hg at (0.000, 0.500, 0.500) and N at (0.500, 0.500, 0.500).